CsZrMoO6 (PBE+U, optimized geometry); magnetization = 1.0 μB/f.u.; space group = C2 (5); volume = 175.83 Å³/cell; VASP energy = -7.172 eV/atom
1.0
5.679 -0.064 -0.013
2.784 4.822 -0.026
-0.014 -0.025 6.379
O Zr Mo Cs
6 1 1 1
direct
0.414 0.564 0.315
0.564 0.412 0.687
0.019 0.589 0.646
0.414 0.022 0.685
0.019 0.391 0.354
0.564 0.023 0.313
0.642 0.679 0.500
0.360 0.320 0.500
0.003 0.999 0.000